Entry 1:
Here is an optimized crystal structure of CsCa2Os4 from Alexandria via LeMat-Bulk. Energies are from PBE-GGA.

Values from the calculation:
Energy of formation in kJ/mol of atoms: 274.1

abc: 4.9376 4.9376 14.8168
angles: 90.00 90.00 90.00
Closest atoms and distances in Å follow each position.
Space group I4/mmm (No. 139)
One atom of each set of equivalent atoms:
1 Cs 0.0000 0.0000 0.0000 (multiplicity 2)  6 Os 2.47-2.52
2 Ca 0.0000 0.0000 0.3663 (multiplicity 4)  5 Os 2.91-3.16
3 Os 0.0000 0.0000 0.1698 (multiplicity 4)  1 Cs 2.52
4 Os 0.0000 0.5000 0.0000 (multiplicity 4)  2 Cs 2.47

***

Entry 2:
Here is an optimized crystal structure of Zn3CoN from Alexandria via LeMat-Bulk. Energies are from PBE-GGA.

Values from the calculation:
Formation energy from raw total energies in kJ per mole of atoms: 129.1

abc: 4.5993 4.5993 4.5993
angles: 90.00 90.00 90.00
Closest atoms and distances in Å follow each position.
Space group Pm-3m (No. 221)
One atom of each set of equivalent atoms:
1 Zn 0.0000 0.0000 0.5000 (multiplicity 3)  2 Co 2.30
2 Co 0.0000 0.0000 0.0000 (multiplicity 1)  6 Zn 2.30
3 N 0.5000 0.5000 0.5000 (multiplicity 1)  12 Zn 3.25

***

Entry 3:
Here is an optimized crystal structure of CaTl2Ag from Alexandria via LeMat-Bulk. Energies are from PBE-GGA.

Values from the calculation:
Energy of formation in kJ/mol of atoms: -21.0

abc: 4.9992 4.9992 16.7016
angles: 90.00 90.00 90.00
Closest atoms and distances in Å follow each position.
Space group I4/mmm (No. 139)
One atom of each set of equivalent atoms:
1 Ca 0.0000 0.0000 0.1339 (multiplicity 4)  4 Ag 3.16, 8 Tl 3.35-3.54
2 Tl 0.0000 0.0000 0.3555 (multiplicity 4)  4 Ag 3.06
3 Tl 0.0000 0.5000 0.0000 (multiplicity 4)  4 Ca 3.35, 8 Tl 3.47-3.53
4 Ag 0.0000 0.5000 0.2500 (multiplicity 4)  4 Tl 3.06, 4 Ca 3.16

***

Entry 4:
Here is an optimized crystal structure of K3TbNb2O8 from Alexandria via LeMat-Bulk. Energies are from PBE-GGA.

Values from the calculation:
Formation energy from raw total energies in kJ per mole of atoms: -248.4

abc: 6.2162 6.2162 7.7679
angles: 90.00 90.00 120.00
Closest atoms and distances in Å follow each position.
Space group P-3m1 (No. 164)
One atom of each set of equivalent atoms:
1 K 0.0000 0.0000 0.0000 (multiplicity 1)  6 O 3.10
2 K 0.3333 0.6667 0.6743 (multiplicity 2)  1 O 2.52
3 Tb 0.0000 0.0000 0.5000 (multiplicity 1)  6 O 2.29
4 Nb 0.3333 0.6667 0.2327 (multiplicity 2)  4 O 1.82-1.90
5 O 0.1694 0.3388 0.3227 (multiplicity 6)  1 Nb 1.90
6 O 0.3333 0.6667 0.9982 (multiplicity 2)  1 Nb 1.82

***

Entry 5:
Here is an optimized crystal structure of PmZr2ZnN4 from Alexandria via LeMat-Bulk. Energies are from PBE-GGA.

Values from the calculation:
Formation energy from raw total energies in kJ per mole of atoms: -115.8

abc: 3.3212 11.1203 11.3047
angles: 90.00 90.00 90.00
Closest atoms and distances in Å follow each position.
Space group Cmcm (No. 63)
One atom of each set of equivalent atoms:
1 Pm 0.0000 0.1097 0.2500 (multiplicity 4)  6 N 2.47-2.62
2 Zr 0.0000 0.3714 0.0458 (multiplicity 8)  3 N 2.12-2.25
3 Zn 0.0000 0.1571 0.7500 (multiplicity 4)  4 N 2.00-2.01
4 N 0.0000 0.0000 0.0000 (multiplicity 4)  4 Zr 2.25
5 N 0.0000 0.2717 0.6142 (multiplicity 8)  1 Zn 2.00, 1 Zr 2.12
6 N 0.0000 0.4453 0.2500 (multiplicity 4)  2 Zn 2.01

***

Entry 6:
Here is an optimized crystal structure of TbSmHo from Alexandria via LeMat-Bulk. Energies are from PBE-GGA.

Values from the calculation:
Energy of formation in kJ/mol of atoms: 11.6

abc: 11.0884 5.9160 6.9595
angles: 90.00 121.80 90.00
Closest atoms and distances in Å follow each position.
Space group C2/m (No. 12)
One atom of each set of equivalent atoms:
1 Tb 0.0078 0.0000 0.2569 (multiplicity 4)  4 Ho 3.43-3.81, 2 Tb 3.48-3.49, 4 Sm 3.51-3.62
2 Sm 0.1707 0.5000 0.7580 (multiplicity 4)  5 Ho 3.48-3.66, 4 Tb 3.51-3.62, 1 Sm 3.59
3 Ho 0.1623 0.5000 0.2505 (multiplicity 4)  4 Tb 3.43-3.81, 1 Ho 3.45, 5 Sm 3.48-3.66